This record from Alexandria via LeMat-Bulk describes crystalline NaMnO4 at its relaxed geometry. The functional is GGA+U.

Its energy is -34.5 eV/f.u. The crystal system is orthorhombic.

The structure belongs to space group Pnma (No. 62); the cell edges are 10.964, 5.468 and 6.522 Å and the angles 90.00°, 90.00° and 90.00°. The inequivalent atoms are Na at (0.188, 0.250, 0.073), Mn at (0.000, 0.000, 0.500), O at (0.070, 0.126, 0.768), O at (0.091, 0.250, 0.372) and O at (0.118, 0.750, 0.475).

=====

This record from Alexandria via LeMat-Bulk describes crystalline TeMoO3 at its relaxed geometry. The functional is GGA+U.

Its energy is -28.7 eV/f.u. The crystal system is cubic.

The structure belongs to space group Pm-3m (No. 221); the cell edges are 4.058, 4.058 and 4.058 Å and the angles 90.00°, 90.00° and 90.00°. The inequivalent atoms are Te at (0.000, 0.000, 0.000), Mo at (0.500, 0.500, 0.500) and O at (0.000, 0.500, 0.500).

=====

Short version: magnetization = 0.638, 0.484 μB per atom, in the order given.